Computed, not measured: a relaxed structure of Pr8TlGa2 at the PBE-GGA level of DFT.

Cell lengths 9.2683, 9.2683, 8.1425 Å; angles 109.48, 109.48, 31.36 degrees
Closest atoms and distances in Å follow each position.
Positions (direct):
Pr1 0.0493 0.0493 0.2404  1 Ga 3.12, 2 Pr 3.40
Pr2 0.1742 0.1742 0.7650  3 Ga 3.14-3.16, 2 Pr 3.45
Pr3 0.3243 0.3243 0.5531  1 Ga 3.07, 1 Tl 3.31, 2 Pr 3.40
Pr4 0.4017 0.4017 0.0468  2 Ga 3.31, 4 Pr 3.45-3.58, 1 Tl 3.49
Pr5 0.5983 0.5983 0.9532  2 Ga 3.31, 4 Pr 3.45-3.58, 1 Tl 3.49
Pr6 0.6757 0.6757 0.4469  1 Ga 3.07, 1 Tl 3.31, 2 Pr 3.40
Pr7 0.8258 0.8258 0.2350  3 Ga 3.14-3.16, 2 Pr 3.45
Pr8 0.9507 0.9507 0.7596  1 Ga 3.12, 2 Pr 3.40
Tl1 0.5000 0.5000 0.5000  8 Pr 3.31-3.58
Ga1 0.2109 0.2109 0.1709  7 Pr 3.07-3.31
Ga2 0.7891 0.7891 0.8291  7 Pr 3.07-3.31

Output
E (eV per atom): -4.50
Space group: C2/m
ΔE_f (eV per formula unit): -2.84



Computed, not measured: a relaxed structure of LiPmPrZn at the PBE-GGA level of DFT.

Cell lengths 3.7584, 3.7584, 7.4885 Å; angles 90.00, 90.00, 90.00 degrees
Closest atoms and distances in Å follow each position.
Positions (direct):
Li1 0.0000 0.0000 0.0000  4 Pm 3.31, 4 Pr 3.35, 1 Zn 3.66
Pm1 0.5000 0.5000 0.2626  4 Zn 3.15, 4 Li 3.31, 1 Pr 3.48
Pr1 0.5000 0.5000 0.7279  4 Zn 3.20, 4 Li 3.35, 1 Pm 3.48
Zn1 0.0000 0.0000 0.4887  4 Pm 3.15, 4 Pr 3.20

Output
Distance to the lowest polymorph of the same formula (eV per atom): 0.000
E (eV per atom): -3.30
Space group: P4mm
ΔE_f (eV per formula unit): -0.48



Computed, not measured: a relaxed structure of Be3Nb2Fe at the PBE-GGA level of DFT.

Cell lengths 4.6454, 4.6454, 4.6454 Å; angles 60.21, 60.21, 60.21 degrees
Closest atoms and distances in Å follow each position.
Positions (direct):
Be1 0.0000 0.5000 0.5000  2 Fe 2.32, 4 Be 2.33
Be2 0.5000 0.0000 0.5000  2 Fe 2.32, 4 Be 2.33
Be3 0.5000 0.5000 0.0000  2 Fe 2.32, 4 Be 2.33
Nb1 0.1260 0.1260 0.1260  9 Be 2.71-2.73, 3 Fe 2.73, 4 Nb 2.84-2.86
Nb2 0.8740 0.8740 0.8740  9 Be 2.71-2.73, 3 Fe 2.73, 4 Nb 2.84-2.86
Fe1 0.5000 0.5000 0.5000  6 Be 2.32

Output
E (eV per atom): -6.82
Space group: R-3m
ΔE_f (eV per formula unit): -1.16



Computed, not measured: a relaxed structure of LiPm3Ag3 at the PBE-GGA level of DFT.

Cell lengths 6.7977, 6.7977, 8.1378 Å; angles 94.22, 94.22, 106.16 degrees
Closest atoms and distances in Å follow each position.
Positions (direct):
Li1 0.2220 0.2220 0.4695  3 Ag 2.59-2.63
Li2 0.7780 0.7780 0.5305  3 Ag 2.59-2.63
Pm1 0.1240 0.1240 0.8346  2 Li 3.17-3.52, 5 Ag 3.19-3.48
Pm2 0.2514 0.7486 0.5000  6 Ag 3.15-3.30, 4 Li 3.31-3.52
Pm3 0.3143 0.6857 0.0000  6 Ag 2.99-3.19
Pm4 0.6857 0.3143 0.0000  6 Ag 2.99-3.19
Pm5 0.7486 0.2514 0.5000  6 Ag 3.15-3.30, 4 Li 3.31-3.52
Pm6 0.8760 0.8760 0.1654  2 Li 3.17-3.52, 5 Ag 3.19-3.48
Ag1 0.0743 0.3627 0.2164  1 Li 2.59
Ag2 0.3627 0.0743 0.2164  1 Li 2.59
Ag3 0.4815 0.4815 0.6953  2 Li 2.63-2.91, 2 Ag 2.92
Ag4 0.5185 0.5185 0.3047  2 Li 2.63-2.91, 2 Ag 2.92
Ag5 0.6373 0.9257 0.7836  1 Li 2.59
Ag6 0.9257 0.6373 0.7836  1 Li 2.59

Output
Distance to the lowest polymorph of the same formula (eV per atom): 0.064
E (eV per atom): -3.65
Space group: C2/m
ΔE_f (eV per formula unit): -0.82



Computed, not measured: a relaxed structure of HfMn6Sn6 at the PBE-GGA level of DFT.

Cell lengths 5.3925, 5.3925, 8.9373 Å; angles 90.00, 90.00, 120.00 degrees
Closest atoms and distances in Å follow each position.
Positions (direct):
Hf1 0.0000 0.0000 0.0000  8 Sn 2.93-3.11
Mn1 0.0000 0.5000 0.2471  4 Mn 2.70, 6 Sn 2.70-2.79
Mn2 0.0000 0.5000 0.7529  4 Mn 2.70, 6 Sn 2.70-2.79
Mn3 0.5000 0.0000 0.2471  4 Mn 2.70, 6 Sn 2.70-2.79
Mn4 0.5000 0.0000 0.7529  4 Mn 2.70, 6 Sn 2.70-2.79
Mn5 0.5000 0.5000 0.2471  4 Mn 2.70, 6 Sn 2.70-2.79
Mn6 0.5000 0.5000 0.7529  4 Mn 2.70, 6 Sn 2.70-2.79
Sn1 0.0000 0.0000 0.3278  6 Mn 2.79, 1 Hf 2.93, 1 Sn 3.08
Sn2 0.0000 0.0000 0.6722  6 Mn 2.79, 1 Hf 2.93, 1 Sn 3.08
Sn3 0.3333 0.6667 0.0000  6 Mn 2.70
Sn4 0.3333 0.6667 0.5000  6 Mn 2.74
Sn5 0.6667 0.3333 0.0000  6 Mn 2.70
Sn6 0.6667 0.3333 0.5000  6 Mn 2.74

Output
E (eV per atom): -6.91
Space group: P6/mmm
ΔE_f (eV per formula unit): -0.84



Computed, not measured: a relaxed structure of HgBP2S at the PBE-GGA level of DFT.

Cell lengths 4.9888, 4.9888, 5.1193 Å; angles 90.00, 90.00, 90.00 degrees
Closest atoms and distances in Å follow each position.
Positions (direct):
Hg1 0.0000 0.0000 0.0000  4 P 2.49, 2 S 2.56
B1 0.5000 0.5000 0.5000  4 S 3.53, 8 P 3.57
P1 0.0000 0.5000 0.0000  2 Hg 2.49
P2 0.5000 0.0000 0.0000  2 Hg 2.49
S1 0.0000 0.0000 0.5000  2 Hg 2.56

Output
Distance to the lowest polymorph of the same formula (eV per atom): 1.219
E (eV per atom): -2.28
Space group: P4/mmm



Computed, not measured: a relaxed structure of Ba3CdH8 at the PBE-GGA level of DFT.

Cell lengths 8.3838, 8.3838, 6.1060 Å; angles 90.00, 90.00, 120.00 degrees
Closest atoms and distances in Å follow each position.
Positions (direct):
Ba1 0.1712 0.3424 0.0000  7 H 2.57-2.85
Ba2 0.1712 0.8288 0.0000  7 H 2.57-2.85
Ba3 0.3424 0.1712 0.5000  7 H 2.57-2.85
Ba4 0.6576 0.8288 0.0000  7 H 2.57-2.85
Ba5 0.8288 0.1712 0.5000  7 H 2.57-2.85
Ba6 0.8288 0.6576 0.5000  7 H 2.57-2.85
Cd1 0.3333 0.6667 0.4850  4 H 1.97-2.08
Cd2 0.6667 0.3333 0.9850  4 H 1.97-2.08
H1 0.0000 0.0000 0.2726  5 H 2.81-3.05, 6 Ba 2.85-2.99
H2 0.0000 0.0000 0.7726  5 H 2.81-3.05, 6 Ba 2.85-2.99
H3 0.0992 0.5496 0.2874  1 Cd 2.08
H4 0.1760 0.3520 0.5794  1 Cd 2.36, 3 Ba 2.57
H5 0.1760 0.8240 0.5794  1 Cd 2.36, 3 Ba 2.57
H6 0.3333 0.6667 0.8082  1 Cd 1.97
H7 0.3520 0.1760 0.0794  1 Cd 2.36, 3 Ba 2.57
H8 0.4504 0.5496 0.2874  1 Cd 2.08
H9 0.4504 0.9008 0.2874  1 Cd 2.08
H10 0.5496 0.0992 0.7874  1 Cd 2.08
H11 0.5496 0.4504 0.7874  1 Cd 2.08
H12 0.6480 0.8240 0.5794  1 Cd 2.36, 3 Ba 2.57
H13 0.6667 0.3333 0.3082  1 Cd 1.97
H14 0.8240 0.1760 0.0794  1 Cd 2.36, 3 Ba 2.57
H15 0.8240 0.6480 0.0794  1 Cd 2.36, 3 Ba 2.57
H16 0.9008 0.4504 0.7874  1 Cd 2.08

Output
E (eV per atom): -3.10
Space group: P6_3mc



Computed, not measured: a relaxed structure of Pa6Ag4O19 at the PBE-GGA level of DFT.

Cell lengths 8.7040, 8.7040, 8.7040 Å; angles 109.47, 109.47, 109.47 degrees
Closest atoms and distances in Å follow each position.
Positions (direct):
Pa1 0.1790 0.5000 0.6790  6 O 2.16-2.19
Pa2 0.3210 0.8210 0.5000  6 O 2.16-2.19
Pa3 0.5000 0.3210 0.8210  6 O 2.16-2.19
Pa4 0.5000 0.6790 0.1790  6 O 2.16-2.19
Pa5 0.6790 0.1790 0.5000  6 O 2.16-2.19
Pa6 0.8210 0.5000 0.3210  6 O 2.16-2.19
Ag1 0.0000 0.0000 0.2625  1 O 2.28
Ag2 0.0000 0.2625 0.0000  1 O 2.28
Ag3 0.2625 0.0000 0.0000  1 O 2.28
Ag4 0.7375 0.7375 0.7375  1 O 2.28
O1 0.0000 0.0000 0.0000  4 Ag 2.28
O2 0.0000 0.3751 0.3751  2 Pa 2.19
O3 0.0000 0.6249 0.6249  2 Pa 2.19
O4 0.0286 0.7460 0.3510  2 Pa 2.16-2.17
O5 0.2540 0.2826 0.6050  2 Pa 2.16-2.17
O6 0.2826 0.6050 0.2540  2 Pa 2.16-2.17
O7 0.3224 0.7174 0.9714  2 Pa 2.16-2.17
O8 0.3510 0.0286 0.7460  2 Pa 2.16-2.17
O9 0.3751 0.0000 0.3751  2 Pa 2.19
O10 0.3751 0.3751 0.0000  2 Pa 2.19
O11 0.3950 0.6776 0.6490  2 Pa 2.16-2.17
O12 0.6050 0.2540 0.2826  2 Pa 2.16-2.17
O13 0.6249 0.0000 0.6249  2 Pa 2.19
O14 0.6249 0.6249 0.0000  2 Pa 2.19
O15 0.6490 0.3950 0.6776  2 Pa 2.16-2.17
O16 0.6776 0.6490 0.3950  2 Pa 2.16-2.17
O17 0.7174 0.9714 0.3224  2 Pa 2.16-2.17
O18 0.7460 0.3510 0.0286  2 Pa 2.16-2.17
O19 0.9714 0.3224 0.7174  2 Pa 2.16-2.17

Output
E (eV per atom): -7.95
Space group: I23



Computed, not measured: a relaxed structure of C3Se at the PBE-GGA level of DFT.

Cell lengths 4.7168, 4.7168, 3.1435 Å; angles 90.00, 90.00, 111.73 degrees
Closest atoms and distances in Å follow each position.
Positions (direct):
C1 0.0000 0.0000 0.0000  2 C 1.30
C2 0.2462 0.2462 0.0000  1 C 1.30
C3 0.7538 0.7538 0.0000  1 C 1.30
Se1 0.5000 0.5000 0.5000  4 C 2.07

Output
Distance to the lowest polymorph of the same formula (eV per atom): 0.071
E (eV per atom): -6.40
Space group: Cmmm



Computed, not measured: a relaxed structure of TaBeZnP2 at the PBE-GGA level of DFT.

Cell lengths 4.7681, 4.7681, 5.0883 Å; angles 90.00, 90.00, 90.00 degrees
Closest atoms and distances in Å follow each position.
Positions (direct):
Ta1 0.0000 0.0000 0.0000  4 P 2.38, 2 Zn 2.54
Be1 0.5000 0.5000 0.5000  4 Zn 3.37, 8 P 3.49
Zn1 0.0000 0.0000 0.5000  2 Ta 2.54
P1 0.0000 0.5000 0.0000  2 Ta 2.38
P2 0.5000 0.0000 0.0000  2 Ta 2.38

Output
E (eV per atom): -4.62
Space group: P4/mmm
ΔE_f (eV per formula unit): 4.56



Computed, not measured: a relaxed structure of LiAs2Au at the PBE-GGA level of DFT.

Cell lengths 3.6355, 3.6355, 5.4756 Å; angles 90.00, 90.00, 90.00 degrees
Closest atoms and distances in Å follow each position.
Positions (direct):
Li1 0.0000 0.0000 0.0000  2 Au 2.74, 8 As 2.86
As1 0.5000 0.5000 0.2281  1 As 2.50
As2 0.5000 0.5000 0.7719  1 As 2.50
Au1 0.0000 0.0000 0.5000  2 Li 2.74, 8 As 2.97

Output
Distance to the lowest polymorph of the same formula (eV per atom): 0.172
E (eV per atom): -3.69
Space group: P4/mmm
ΔE_f (eV per formula unit): -0.26



Computed, not measured: a relaxed structure of Tb2PrYSe6 at the PBE-GGA level of DFT.

Cell lengths 7.7778, 7.7778, 7.7778 Å; angles 56.10, 56.10, 56.10 degrees
Closest atoms and distances in Å follow each position.
Positions (direct):
Tb1 0.0000 0.0000 0.0000  6 Se 2.85-2.92
Tb2 0.4962 0.4962 0.4962  6 Se 2.86-2.92
Pr1 0.2000 0.2000 0.2000  6 Se 2.94-3.05
Y1 0.6942 0.6942 0.6942  6 Se 2.87-2.91
Se1 0.0961 0.4017 0.7870  2 Tb 2.86-2.92, 1 Y 2.87, 1 Pr 3.05
Se2 0.2887 0.8833 0.6142  2 Tb 2.85-2.92, 1 Y 2.91, 1 Pr 2.94
Se3 0.4017 0.7870 0.0961  2 Tb 2.86-2.92, 1 Y 2.87, 1 Pr 3.05
Se4 0.6142 0.2887 0.8833  2 Tb 2.85-2.92, 1 Y 2.91, 1 Pr 2.94
Se5 0.7870 0.0961 0.4017  2 Tb 2.86-2.92, 1 Y 2.87, 1 Pr 3.05
Se6 0.8833 0.6142 0.2887  2 Tb 2.85-2.92, 1 Y 2.91, 1 Pr 2.94

Output
E (eV per atom): -5.99
Space group: R3